No. 1
Y3Ho2Sc GGA-PBE optimized geometry; spin magnetization = 0.1 μB/cell; polymorph energy (0 for the lowest one) = 10.3 kJ/mol of atoms; E_form = 147 meV per atom; total DFT energy (no corrections) = -0.2082 hartree per atom; D(E_F) = 1.83 states/eV per atom
1.0
-1.171 1.770 2.702
-0.085 -6.320 6.288
11.213 1.936 5.777
Y Sc Ho
6 2 4
Direct
0.600 0.827 0.974
0.258 0.190 0.294
0.963 0.854 0.220
0.742 0.810 0.706
0.400 0.173 0.026
0.037 0.146 0.780
0.563 0.516 0.359
0.437 0.484 0.641
0.820 0.481 0.880
0.344 0.842 0.470
0.656 0.158 0.530
0.180 0.519 0.120


No. 2
CrIr2W GGA-PBE optimized geometry; spin magnetization = 0.4 μB/cell; polymorph energy (0 for the lowest one) = 2.3 kJ/mol of atoms; E_form = -217 meV per atom; total DFT energy (no corrections) = -0.3782 hartree per atom; D(E_F) = 0.68 states/eV per atom
1.0
2.734 0.000 0.000
0.000 3.822 0.000
0.000 0.000 5.464
Ir W Cr
2 1 1
Direct
0.000 0.000 0.991
0.000 0.000 0.509
0.500 0.500 0.250
0.500 0.500 0.750


No. 3
PmZrSc2 GGA-PBE optimized geometry; spin magnetization = 0.0 μB/cell; polymorph energy (0 for the lowest one) = 3.6 kJ/mol of atoms; E_form = 68 meV per atom; total DFT energy (no corrections) = -0.2360 hartree per atom; D(E_F) = 1.63 states/eV per atom
1.0
-1.631 -2.240 1.855
1.596 -1.629 2.432
-2.734 6.486 8.425
Pm Sc Zr
1 2 1
Direct
0.500 0.500 0.500
0.256 0.256 0.233
0.744 0.744 0.767
0.000 0.000 0.000


No. 4
Tl2CoRu GGA-PBE optimized geometry; spin magnetization = 0.0 μB/cell; polymorph energy (0 for the lowest one) = 15.6 kJ/mol of atoms; E_form = 626 meV per atom; total DFT energy (no corrections) = -0.1710 hartree per atom; D(E_F) = 0.73 states/eV per atom
1.0
3.399 -1.449 2.748
-0.925 -1.287 4.323
0.267 -4.441 1.187
Ru Tl Co
1 2 1
Direct
0.500 0.500 0.500
0.750 0.750 0.750
0.250 0.250 0.250
0.000 0.000 0.000


Question: D(E_F) of number 1 (Y3Ho2Sc)?
Answer: 1.83 states/eV per atom